Entry 1:
A geometry-optimized CePm2In structure, computed with PBE-GGA.

Values from the calculation:
ΔH_f (0 K): 70 meV per atom
Relative energy among the computed polymorphs: 297 meV/atom
Symmetry: R-3m
Magnetic moment: 0.6 μB/f.u.
Crystal system: trigonal
DOS(E_F): 7.3 states/eV/cell

POSCAR file:
```
CePm2In
1.0
1.7079 0.9861 12.0687
-1.7079 0.9861 12.0687
0.0000 -1.9721 12.0687
Ce Pm In
1 2 1
Cartesian
0.0000 0.0000 0.0000
0.0000 0.0000 3.3231
0.0000 0.0000 32.8830
0.0000 0.0000 18.1030
```


Entry 2:
A geometry-optimized Be2VAg structure, computed with PBE-GGA.

Values from the calculation:
ΔH_f (0 K): 219 meV per atom
Relative energy among the computed polymorphs: 0 meV/atom
Symmetry: Fm-3m
Magnetic moment: 2.2 μB/f.u.
Crystal system: cubic
DOS(E_F): 2.5 states/eV/cell

POSCAR file:
```
Be2VAg
1.0
0.0000 2.8832 2.8832
2.8832 0.0000 2.8832
2.8832 2.8832 0.0000
Be V Ag
2 1 1
Cartesian
1.4416 1.4416 1.4416
4.3248 4.3248 4.3248
0.0000 0.0000 0.0000
2.8832 2.8832 2.8832
```


Entry 3:
A geometry-optimized Li2MnGa2 structure, computed with PBE-GGA.

Values from the calculation:
ΔH_f (0 K): -18 meV per atom
Relative energy among the computed polymorphs: 143 meV/atom
Symmetry: I4/mmm
Magnetic moment: 3.4 μB/f.u.
Crystal system: tetragonal
DOS(E_F): 2.0 states/eV/cell

POSCAR file:
```
Li2MnGa2
1.0
-1.7302 1.7302 6.4468
1.7302 -1.7302 6.4468
1.7302 1.7302 -6.4468
Li Mn Ga
2 1 2
Cartesian
1.7302 0.0000 3.2234
0.0000 1.7302 3.2234
0.0000 0.0000 0.0000
0.0000 0.0000 5.1980
0.0000 0.0000 7.6956
```


Entry 4:
A geometry-optimized NaTbTl3 structure, computed with PBE-GGA.

Values from the calculation:
ΔH_f (0 K): 68 meV per atom
Symmetry: P6_3/mmc
Magnetic moment: 0.0 μB/f.u.
Crystal system: hexagonal
DOS(E_F): 8.1 states/eV/cell

POSCAR file:
```
NaTbTl3
1.0
7.5362 0.0000 0.0000
-3.7681 6.5266 0.0000
0.0000 0.0000 5.8909
Na Tb Tl
2 2 6
Cartesian
0.0000 0.0000 0.0000
0.0000 0.0000 2.9455
0.0000 4.3511 1.4727
3.7681 2.1755 4.4182
0.0000 2.5542 4.4182
-1.5561 5.2495 4.4182
2.2120 1.2771 1.4727
1.5561 5.2495 4.4182
5.3242 1.2771 1.4727
3.7681 3.9723 1.4727
```


Entry 5:
A geometry-optimized LiCaC2N structure, computed with PBE-GGA.

Values from the calculation:
Symmetry: P4/mmm
Formation energy without anion corrections: 3.077 eV per atom
Magnetic moment: 5.7 μB/f.u.
Crystal system: tetragonal
DOS(E_F): 3.4 states/eV/cell

POSCAR file:
```
LiCaC2N
1.0
4.6070 0.0000 0.0000
0.0000 4.6070 0.0000
0.0000 0.0000 10.1319
Li Ca C N
1 1 2 1
Cartesian
0.0000 0.0000 0.0000
0.0000 0.0000 5.0660
0.0000 2.3035 5.0660
2.3035 0.0000 5.0660
2.3035 2.3035 0.0000
```


Entry 6:
A geometry-optimized TiNbCo2 structure, computed with PBE-GGA.

Values from the calculation:
ΔH_f (0 K): -262 meV per atom
Symmetry: P4/mmm
Magnetic moment: 0.0 μB/f.u.
Crystal system: tetragonal
DOS(E_F): 4.0 states/eV/cell

POSCAR file:
```
TiNbCo2
1.0
2.8517 0.0000 0.0000
0.0000 2.8517 0.0000
0.0000 0.0000 6.6788
Ti Nb Co
1 1 2
Cartesian
0.0000 0.0000 0.0000
0.0000 0.0000 3.3394
1.4259 1.4259 1.4555
1.4259 1.4259 5.2232
```


Entry 7:
A geometry-optimized TaNbMo4 structure, computed with PBE-GGA.

Values from the calculation:
ΔH_f (0 K): -155 meV per atom
Relative energy among the computed polymorphs: 0 meV/atom
Symmetry: Cmmm
Magnetic moment: 0.0 μB/f.u.
Crystal system: orthorhombic
DOS(E_F): 2.5 states/eV/cell

POSCAR file:
```
TaNbMo4
1.0
2.2650 -4.8301 0.0000
2.2650 4.8301 0.0000
0.0000 0.0000 4.5353
Ta Nb Mo
1 1 4
Cartesian
0.0000 0.0000 0.0000
2.2650 0.0000 2.2676
2.2650 3.1849 2.2676
2.2650 1.6486 0.0000
2.2650 -1.6486 0.0000
2.2650 -3.1849 2.2676
```


Entry 8:
A geometry-optimized Ce2ReP structure, computed with PBE-GGA.

Values from the calculation:
ΔH_f (0 K): 103 meV per atom
Symmetry: R-3m
Magnetic moment: 0.0 μB/f.u.
Crystal system: trigonal
DOS(E_F): 3.5 states/eV/cell

POSCAR file:
```
Ce2ReP
1.0
1.7410 1.0052 8.8045
-1.7410 1.0052 8.8045
0.0000 -2.0104 8.8045
Ce Re P
2 1 1
Cartesian
0.0000 0.0000 2.5056
0.0000 0.0000 23.9078
0.0000 0.0000 0.0000
0.0000 0.0000 13.2067
```


Entry 9:
A geometry-optimized K2BaCr structure, computed with PBE-GGA.

Values from the calculation:
ΔH_f (0 K): 630 meV per atom
Relative energy among the computed polymorphs: 96 meV/atom
Symmetry: I4/mmm
Magnetic moment: 5.0 μB/f.u.
Crystal system: tetragonal
DOS(E_F): 2.7 states/eV/cell

POSCAR file:
```
K2BaCr
1.0
-2.6862 2.6862 6.8499
2.6862 -2.6862 6.8499
2.6862 2.6862 -6.8499
K Ba Cr
2 1 1
Cartesian
2.6862 0.0000 3.4250
0.0000 2.6862 3.4250
0.0000 0.0000 0.0000
0.0000 0.0000 6.8499
```


Entry 10:
A geometry-optimized Li2YBiTe structure, computed with PBE-GGA.

Values from the calculation:
Symmetry: P4/mmm
Formation energy without anion corrections: -0.063 eV per atom
Magnetic moment: 0.0 μB/f.u.
Crystal system: tetragonal
DOS(E_F): 3.1 states/eV/cell

POSCAR file:
```
Li2YBiTe
1.0
4.8797 0.0000 0.0000
0.0000 4.8797 0.0000
0.0000 0.0000 6.5131
Li Y Bi Te
2 1 1 1
Cartesian
0.0000 2.4399 0.0000
2.4399 0.0000 0.0000
0.0000 0.0000 3.2565
2.4399 2.4399 0.0000
2.4399 2.4399 3.2565
```


Entry 11:
A geometry-optimized Hf2PtC2 structure, computed with PBE-GGA.

Values from the calculation:
ΔH_f (0 K): 72 meV per atom
Relative energy among the computed polymorphs: 327 meV/atom
Symmetry: I4/mmm
Magnetic moment: 0.0 μB/f.u.
Crystal system: tetragonal
DOS(E_F): 4.1 states/eV/cell

POSCAR file:
```
Hf2PtC2
1.0
-2.1857 2.1857 3.6625
2.1857 -2.1857 3.6625
2.1857 2.1857 -3.6625
Hf Pt C
2 1 2
Cartesian
2.1857 0.0000 1.8313
0.0000 2.1857 1.8313
0.0000 0.0000 0.0000
0.0000 0.0000 2.9284
0.0000 0.0000 4.3966
```


Entry 12:
A geometry-optimized TlIN2 structure, computed with PBE-GGA.

Values from the calculation:
Relative energy among the computed polymorphs: 857 meV/atom
Symmetry: Fm-3m
Formation energy without anion corrections: 2.175 eV per atom
Magnetic moment: 0.0 μB/f.u.
Crystal system: cubic
DOS(E_F): 2.4 states/eV/cell

POSCAR file:
```
TlIN2
1.0
0.0000 3.1708 3.1708
3.1708 0.0000 3.1708
3.1708 3.1708 0.0000
Tl I N
1 1 2
Cartesian
0.0000 0.0000 0.0000
3.1708 3.1708 3.1708
1.5854 1.5854 1.5854
4.7561 4.7561 4.7561
```